Record 1
First-principles (GGA-PBE) data for a relaxed structure of CdI2, as listed in OQMD.

## Properties
DFT total energy, eV per atom: -1.78

a = 4.304 Å, b = 4.304 Å, c = 41.538 Å
α = 90.00°, β = 90.00°, γ = 120.00°
Fractional coordinates of all 18 atoms:
Cd 0.333 0.667 0.041
Cd 0.333 0.667 0.207
Cd 0.667 0.333 0.372
Cd 0.333 0.667 0.537
Cd 0.000 0.000 0.637
Cd 0.333 0.667 0.872
I 0.000 0.000 0.000
I 0.667 0.333 0.083
I 0.000 0.000 0.167
I 0.667 0.333 0.249
I 0.000 0.000 0.331
I 0.333 0.667 0.414
I 0.000 0.000 0.497
I 0.667 0.333 0.583
I 0.333 0.667 0.673
I 0.667 0.333 0.740
I 0.000 0.000 0.831
I 0.667 0.333 0.914

---

Record 2
First-principles (GGA-PBE) data for a relaxed structure of CdI2, as listed in OQMD.

## Properties
DFT total energy, eV per atom: -1.49

a = 7.776 Å, b = 7.776 Å, c = 7.776 Å
α = 151.40°, β = 151.40°, γ = 40.88°
Fractional coordinates of all 3 atoms:
Cd 0.000 0.000 0.000
I 0.373 0.373 0.000
I 0.627 0.627 0.000

---

Record 3
First-principles (GGA-PBE) data for a relaxed structure of CdI2, as listed in OQMD.

## Properties
DFT total energy, eV per atom: -1.84

a = 7.274 Å, b = 7.274 Å, c = 4.375 Å
α = 90.00°, β = 90.00°, γ = 90.00°
Fractional coordinates of all 6 atoms:
Cd 0.000 0.000 0.000
Cd 0.500 0.500 0.500
I 0.305 0.305 0.000
I 0.695 0.695 0.000
I 0.805 0.195 0.500
I 0.195 0.805 0.500

---

Record 4
First-principles (GGA-PBE) data for a relaxed structure of CdI, as listed in OQMD.

## Properties
DFT total energy, eV per atom: -1.29

a = 5.106 Å, b = 5.106 Å, c = 5.106 Å
α = 60.00°, β = 60.00°, γ = 60.00°
Fractional coordinates of all 2 atoms:
Cd 0.000 0.000 0.000
I 0.250 0.250 0.250

---

Record 5
First-principles (GGA-PBE) data for a relaxed structure of CdI2, as listed in OQMD.

## Properties
DFT total energy, eV per atom: -1.90

a = 4.291 Å, b = 4.290 Å, c = 48.872 Å
α = 90.00°, β = 92.52°, γ = 120.00°
Fractional coordinates of all 21 atoms:
Cd 0.357 0.679 0.036
Cd 0.452 0.726 0.179
Cd 0.214 0.107 0.321
Cd 0.643 0.821 0.464
Cd 0.405 0.202 0.607
Cd 0.833 0.917 0.750
Cd 0.595 0.298 0.893
I 0.000 0.000 0.000
I 0.714 0.357 0.071
I 0.095 0.048 0.143
I 0.809 0.405 0.214
I 0.524 0.762 0.286
I 0.905 0.452 0.357
I 0.286 0.143 0.429
I 0.000 0.500 0.500
I 0.715 0.857 0.572
I 0.095 0.548 0.642
I 0.476 0.238 0.715
I 0.190 0.595 0.785
I 0.905 0.952 0.858
I 0.285 0.643 0.928

---

Record 6
First-principles (GGA-PBE) data for a relaxed structure of KCd3I, as listed in OQMD.

## Properties
DFT total energy, eV per atom: -1.35

a = 3.960 Å, b = 16.363 Å, c = 16.363 Å
α = 17.82°, β = 90.00°, γ = 90.00°
Fractional coordinates of all 10 atoms:
Cd 0.000 0.048 0.048
Cd 0.000 0.267 0.267
Cd 0.500 0.456 0.456
Cd 0.500 0.547 0.547
Cd 0.000 0.736 0.736
Cd 0.000 0.955 0.955
I 0.000 0.362 0.362
I 0.000 0.642 0.642
K 0.500 0.171 0.171
K 0.500 0.832 0.832

---

Record 7
First-principles (GGA-PBE) data for a relaxed structure of La2Cd2I, as listed in OQMD.

## Properties
DFT total energy, eV per atom: -3.24

a = 4.796 Å, b = 4.796 Å, c = 7.956 Å
α = 90.00°, β = 90.00°, γ = 120.00°
Fractional coordinates of all 5 atoms:
Cd 0.000 0.000 0.500
Cd 0.333 0.667 0.500
I 0.333 0.667 0.000
La 0.667 0.333 0.258
La 0.667 0.333 0.742

---

Record 8
First-principles (GGA-PBE) data for a relaxed structure of Li6CdI8, as listed in OQMD.

## Properties
DFT total energy, eV per atom: -2.70

a = 8.428 Å, b = 8.428 Å, c = 8.428 Å
α = 60.00°, β = 60.00°, γ = 60.00°
Fractional coordinates of all 15 atoms:
Cd 0.000 0.000 0.000
I 0.250 0.250 0.250
I 0.748 0.252 0.252
I 0.252 0.748 0.252
I 0.748 0.748 0.252
I 0.252 0.252 0.748
I 0.748 0.252 0.748
I 0.252 0.748 0.748
I 0.750 0.750 0.750
Li 0.500 0.000 0.000
Li 0.000 0.500 0.000
Li 0.500 0.500 0.000
Li 0.000 0.000 0.500
Li 0.500 0.000 0.500
Li 0.000 0.500 0.500